The following is a PBE calculation of a relaxed CoPS2N crystal, from Alexandria.

a = 3.3914 Å, b = 4.2701 Å, c = 7.1063 Å
α = 91.23°, β = 101.52°, γ = 94.71°
With the nearest neighbours (Å) after each atom.
Fractional positions:
S 0.0014 0.9879 0.3336  1 P 2.19, 2 Co 2.30-2.33
N 0.0112 0.2389 0.7414  1 S 1.58, 1 P 1.69
Co 0.5405 0.7127 0.4782  3 S 2.11-2.33, 2 P 2.17-2.22
S 0.7941 0.9010 0.7572  1 N 1.58
P 0.0382 0.3988 0.5281  1 N 1.69

Output
**Theoretical density**: 2.78 g/cm3
**VASP energy**: -5.7471 eV/atom
**Total magnetic moment**: 0.00 μB/cell